First-principles (PBE) data for crystalline NaCrCuTe2 at its relaxed geometry, as listed in Alexandria.

Unit cell a=7.507 b=4.564 c=7.795 alpha=90.00 beta=98.84 gamma=90.00
Fractional coordinates of all 10 atoms:
Na  0.000  0.125  0.250
Na  0.000  0.875  0.750
Cr  0.500  0.496  0.750
Cr  0.500  0.504  0.250
Cu  0.500  0.000  0.000
Cu  0.500  0.000  0.500
Te  0.251  0.366  0.965
Te  0.251  0.634  0.465
Te  0.749  0.366  0.535
Te  0.749  0.634  0.035

Computed properties:
The total magnetization is 4.00 μB/f.u. Its space group is P2/c. The value obtained for the uncorrected formation energy is -0.2202 eV/atom. The value obtained for the volume is 131.9 Å³/f.u.

***

First-principles (PBE) data for crystalline Na2CrCuTe4 at its relaxed geometry, as listed in Alexandria.

Unit cell a=8.594 b=8.594 c=8.594 alpha=123.43 beta=122.06 gamma=85.31
Fractional coordinates of all 16 atoms:
Na  0.000  0.000  0.000
Na  0.500  0.000  0.000
Na  0.500  0.000  0.500
Na  0.500  0.500  0.500
Cr  0.000  0.000  0.500
Cr  0.000  0.500  0.000
Cu  0.000  0.500  0.500
Cu  0.500  0.500  0.000
Te  0.205  0.235  0.969
Te  0.218  0.270  0.552
Te  0.218  0.665  0.948
Te  0.234  0.765  0.469
Te  0.766  0.235  0.531
Te  0.782  0.335  0.052
Te  0.782  0.730  0.448
Te  0.795  0.765  0.031

Computed properties:
The total magnetization is 2.87 μB/f.u. Its space group is Imma. The value obtained for the uncorrected formation energy is -0.3525 eV/atom. The value obtained for the volume is 214.3 Å³/f.u.

***

First-principles (PBE) data for crystalline Na2CrCu2Te4 at its relaxed geometry, as listed in Alexandria.

Unit cell a=7.945 b=7.945 c=7.788 alpha=111.83 beta=111.83 gamma=29.38
Fractional coordinates of all 9 atoms:
Na  0.133  0.133  0.077
Na  0.867  0.867  0.923
Cr  0.000  0.000  0.500
Cu  0.308  0.308  0.518
Cu  0.692  0.692  0.482
Te  0.194  0.194  0.701
Te  0.488  0.488  0.735
Te  0.512  0.512  0.265
Te  0.806  0.806  0.299

Computed properties:
The total magnetization is 2.67 μB/f.u. Its space group is C2/m. The value obtained for the uncorrected formation energy is -0.3926 eV/atom. The value obtained for the volume is 222.6 Å³/f.u.

***

First-principles (PBE) data for crystalline NaCrCuTe3 at its relaxed geometry, as listed in Alexandria.

Unit cell a=8.529 b=3.941 c=9.761 alpha=90.00 beta=110.06 gamma=90.00
Fractional coordinates of all 12 atoms:
Na  0.217  0.250  0.262
Na  0.783  0.750  0.738
Cr  0.318  0.750  0.839
Cr  0.682  0.250  0.161
Cu  0.075  0.250  0.594
Cu  0.925  0.750  0.406
Te  0.110  0.250  0.868
Te  0.252  0.750  0.544
Te  0.450  0.750  0.139
Te  0.550  0.250  0.861
Te  0.748  0.250  0.456
Te  0.890  0.750  0.132

Computed properties:
The total magnetization is 2.49 μB/f.u. Its space group is P2_1/m. The value obtained for the uncorrected formation energy is -0.3612 eV/atom. The value obtained for the volume is 154.1 Å³/f.u.

***

First-principles (PBE) data for crystalline Na2CrCuTe at its relaxed geometry, as listed in Alexandria.

Unit cell a=5.916 b=5.916 c=4.937 alpha=90.00 beta=90.00 gamma=90.00
Fractional coordinates of all 5 atoms:
Na  0.000  0.500  0.000
Na  0.500  0.000  0.000
Cr  0.000  0.000  0.000
Cu  0.500  0.500  0.500
Te  0.000  0.000  0.500

Computed properties:
The total magnetization is 4.56 μB/f.u. Its space group is P4/mmm. The value obtained for the uncorrected formation energy is 0.6126 eV/atom. The value obtained for the volume is 172.8 Å³/f.u.

***

First-principles (PBE) data for crystalline NaTiCrCu2 at its relaxed geometry, as listed in Alexandria.

Unit cell a=4.573 b=4.573 c=4.939 alpha=90.00 beta=90.00 gamma=90.00
Fractional coordinates of all 5 atoms:
Na  0.000  0.000  0.000
Ti  0.000  0.000  0.500
Cr  0.500  0.500  0.000
Cu  0.000  0.500  0.500
Cu  0.500  0.000  0.500

Computed properties:
The total magnetization is 0.95 μB/f.u. Its space group is P4/mmm. Its energy relative to the elements is 1.815 eV/atom. The value obtained for the volume is 103.3 Å³/f.u.

***

First-principles (PBE) data for crystalline Na2CrCuW at its relaxed geometry, as listed in Alexandria.

Unit cell a=5.313 b=5.313 c=4.537 alpha=90.00 beta=90.00 gamma=90.00
Fractional coordinates of all 5 atoms:
Na  0.000  0.500  0.000
Na  0.500  0.000  0.000
Cr  0.000  0.000  0.000
Cu  0.500  0.500  0.500
W  0.000  0.000  0.500

Computed properties:
The total magnetization is 0.89 μB/f.u. Its space group is P4/mmm. Its energy relative to the elements is 1.633 eV/atom. The value obtained for the volume is 128.1 Å³/f.u.

***

First-principles (PBE) data for crystalline NbCr2Cu at its relaxed geometry, as listed in Alexandria.

Unit cell a=4.291 b=4.291 c=4.291 alpha=60.00 beta=60.00 gamma=60.00
Fractional coordinates of all 4 atoms:
Nb  0.000  0.000  0.000
Cr  0.250  0.250  0.250
Cr  0.750  0.750  0.750
Cu  0.500  0.500  0.500

Computed properties:
The total magnetization is 3.62 μB/f.u. Its space group is Fm-3m. Its distance to the lowest polymorph of the same formula is 0.000 eV/atom. Its energy relative to the elements is 0.343 eV/atom. The value obtained for the volume is 55.9 Å³/f.u.